(1)
## FeTcPd2N (PBE-GGA)

Data for a relaxed structure of FeTcPd2N.

Values from the calculation:
* VASP energy: -26.26 eV per cell
* magnetic moment: 4.16 μB per cell
* symmetry: P4/mmm (123)
* formation energy (no corrections): 2.257 eV per atom

a = 4.8356 Å, b = 4.4157 Å, c = 4.8356 Å
α = 90.00°, β = 90.00°, γ = 90.00°
Last column: magnetic moment on the atom in μB.
Positions (direct):
N 0.5000 0.5000 0.5000  1.51
Tc 0.0000 0.0000 0.0000  -0.08
Pd 0.0000 0.0000 0.5000  -0.14
Pd 0.5000 0.0000 0.0000  -0.01
Fe 0.0000 0.5000 0.0000  2.25

(2)
## FeTe2PdN (PBE-GGA)

Data for a relaxed structure of FeTe2PdN.

Values from the calculation:
* VASP energy: -22.23 eV per cell
* magnetic moment: 0.03 μB per cell
* distance to the lowest polymorph of the same formula: 1043.9 meV per atom
* symmetry: P4/mmm (123)
* formation energy (no corrections): 1.206 eV per atom

a = 5.4238 Å, b = 5.4238 Å, c = 3.6430 Å
α = 90.00°, β = 90.00°, γ = 90.00°
Positions (direct):
Te 0.0000 0.5000 0.0000
Te 0.5000 0.0000 0.0000
Fe 0.5000 0.5000 0.5000
Pd 0.0000 0.0000 0.0000
N 0.0000 0.0000 0.5000

(3)
## FeTe2PdN (PBE-GGA)

Data for a relaxed structure of FeTe2PdN.

Values from the calculation:
* VASP energy: -27.45 eV per cell
* magnetic moment: 0.00 μB per cell
* distance to the lowest polymorph of the same formula: 0.0 meV per atom
* symmetry: P4/mmm (123)
* formation energy (no corrections): 0.162 eV per atom

a = 5.2141 Å, b = 5.2141 Å, c = 3.3531 Å
α = 90.00°, β = 90.00°, γ = 90.00°
Positions (direct):
Te 0.0000 0.5000 0.0000
Te 0.5000 0.0000 0.0000
Fe 0.0000 0.0000 0.0000
Pd 0.5000 0.5000 0.5000
N 0.0000 0.0000 0.5000

(4)
## FeTePdN2 (PBE-GGA)

Data for a relaxed structure of FeTePdN2.

Values from the calculation:
* VASP energy: -25.65 eV per cell
* magnetic moment: 0.00 μB per cell
* distance to the lowest polymorph of the same formula: 787.3 meV per atom
* symmetry: P4/mmm (123)
* formation energy (no corrections): 1.560 eV per atom

a = 3.9325 Å, b = 3.9325 Å, c = 6.0060 Å
α = 90.00°, β = 90.00°, γ = 90.00°
Last column: magnetic moment on the atom in μB.
Positions (direct):
Te 0.0000 0.0000 0.5000  -0.03
Fe 0.5000 0.5000 0.5000  3.13
Pd 0.0000 0.0000 0.0000  -0.48
N 0.0000 0.5000 0.0000  -0.99
N 0.5000 0.0000 0.0000  -0.99

(5)
## FeTePdN2 (PBE-GGA)

Data for a relaxed structure of FeTePdN2.

Values from the calculation:
* VASP energy: -29.58 eV per cell
* magnetic moment: 0.00 μB per cell
* distance to the lowest polymorph of the same formula: 0.0 meV per atom
* symmetry: P4/mmm (123)
* formation energy (no corrections): 0.773 eV per atom

a = 3.6464 Å, b = 3.6464 Å, c = 5.7148 Å
α = 90.00°, β = 90.00°, γ = 90.00°
Positions (direct):
Te 0.0000 0.0000 0.5000
Fe 0.0000 0.0000 0.0000
Pd 0.5000 0.5000 0.5000
N 0.0000 0.5000 0.0000
N 0.5000 0.0000 0.0000

(6)
## Ti2FePdN (PBE-GGA)

Data for a relaxed structure of Ti2FePdN.

Values from the calculation:
* VASP energy: -41.77 eV per cell
* magnetic moment: 1.27 μB per cell
* symmetry: P4/mmm (123)
* formation energy (no corrections): -0.800 eV per atom

a = 4.1398 Å, b = 4.1398 Å, c = 3.7413 Å
α = 90.00°, β = 90.00°, γ = 90.00°
Last column: magnetic moment on the atom in μB.
Positions (direct):
N 0.0000 0.0000 0.0000  0.03
Fe 0.0000 0.0000 0.5000  1.70
Pd 0.5000 0.5000 0.5000  0.02
Ti 0.0000 0.5000 0.0000  -0.18
Ti 0.5000 0.0000 0.0000  -0.18

(7)
## VFe2PdN (PBE-GGA)

Data for a relaxed structure of VFe2PdN.

Values from the calculation:
* VASP energy: -41.04 eV per cell
* magnetic moment: 3.67 μB per cell
* symmetry: P4/mmm (123)
* formation energy (no corrections): -0.295 eV per atom

a = 3.8736 Å, b = 3.8736 Å, c = 3.9167 Å
α = 90.00°, β = 90.00°, γ = 90.00°
Last column: magnetic moment on the atom in μB.
Positions (direct):
N 0.0000 0.0000 0.0000  0.05
Fe 0.0000 0.5000 0.0000  2.41
Fe 0.5000 0.0000 0.0000  2.41
Pd 0.5000 0.5000 0.5000  0.11
V 0.0000 0.0000 0.5000  -1.13

(8)
## VFePd2N (PBE-GGA)

Data for a relaxed structure of VFePd2N.

Values from the calculation:
* VASP energy: -32.64 eV per cell
* magnetic moment: 2.85 μB per cell
* symmetry: P4/mmm (123)
* formation energy (no corrections): 0.730 eV per atom

a = 4.7681 Å, b = 3.5995 Å, c = 4.7681 Å
α = 90.00°, β = 90.00°, γ = 90.00°
Last column: magnetic moment on the atom in μB.
Positions (direct):
N 0.0000 0.5000 0.0000  0.09
Fe 0.5000 0.5000 0.5000  3.29
Pd 0.0000 0.0000 0.5000  0.00
Pd 0.5000 0.0000 0.0000  0.04
V 0.0000 0.0000 0.0000  -0.57

(9)
## Fe2PdWN (PBE-GGA)

Data for a relaxed structure of Fe2PdWN.

Values from the calculation:
* VASP energy: -43.55 eV per cell
* magnetic moment: 4.16 μB per cell
* distance to the lowest polymorph of the same formula: 0.0 meV per atom
* symmetry: P4/mmm (123)
* formation energy (no corrections): -0.032 eV per atom

a = 3.9018 Å, b = 3.9018 Å, c = 4.0329 Å
α = 90.00°, β = 90.00°, γ = 90.00°
Last column: magnetic moment on the atom in μB.
Positions (direct):
N 0.0000 0.0000 0.0000  0.00
Pd 0.5000 0.5000 0.5000  0.07
W 0.0000 0.0000 0.5000  -0.25
Fe 0.0000 0.5000 0.0000  2.23
Fe 0.5000 0.0000 0.0000  2.23

(10)
## FePdW2N (PBE-GGA)

Data for a relaxed structure of FePdW2N.

Values from the calculation:
* VASP energy: -47.92 eV per cell
* magnetic moment: 1.68 μB per cell
* symmetry: P4/mmm (123)
* formation energy (no corrections): -0.007 eV per atom

a = 4.0898 Å, b = 4.0898 Å, c = 3.9047 Å
α = 90.00°, β = 90.00°, γ = 90.00°
Last column: magnetic moment on the atom in μB.
Positions (direct):
N 0.0000 0.0000 0.0000  0.00
Pd 0.5000 0.5000 0.5000  0.04
W 0.0000 0.5000 0.0000  -0.08
W 0.5000 0.0000 0.0000  -0.08
Fe 0.0000 0.0000 0.5000  1.86

(11)
## Fe2PdWN (PBE-GGA)

Data for a relaxed structure of Fe2PdWN.

Values from the calculation:
* VASP energy: -34.42 eV per cell
* magnetic moment: 3.83 μB per cell
* distance to the lowest polymorph of the same formula: 1827.0 meV per atom
* symmetry: P4/mmm (123)
* formation energy (no corrections): 1.795 eV per atom

a = 4.7331 Å, b = 3.6104 Å, c = 4.7331 Å
α = 90.00°, β = 90.00°, γ = 90.00°
Last column: magnetic moment on the atom in μB.
Positions (direct):
N 0.0000 0.5000 0.0000  -0.05
Pd 0.0000 0.0000 0.0000  0.06
W 0.5000 0.5000 0.5000  -1.50
Fe 0.0000 0.0000 0.5000  2.96
Fe 0.5000 0.0000 0.0000  2.75

(12)
## Zr2FePdN (PBE-GGA)

Data for a relaxed structure of Zr2FePdN.

Values from the calculation:
* VASP energy: -43.13 eV per cell
* magnetic moment: 1.42 μB per cell
* symmetry: P4/mmm (123)
* formation energy (no corrections): -0.810 eV per atom

a = 4.5310 Å, b = 4.5310 Å, c = 3.7228 Å
α = 90.00°, β = 90.00°, γ = 90.00°
Last column: magnetic moment on the atom in μB.
Positions (direct):
N 0.0000 0.0000 0.0000  0.03
Zr 0.0000 0.5000 0.0000  -0.10
Zr 0.5000 0.0000 0.0000  -0.10
Pd 0.5000 0.5000 0.5000  -0.02
Fe 0.0000 0.0000 0.5000  1.77

(13)
## PmFeN2 (PBE-GGA)

Data for a relaxed structure of PmFeN2.

Values from the calculation:
* VASP energy: -98.49 eV per cell
* magnetic moment: 3.09 μB per cell
* distance to the lowest polymorph of the same formula: 0.0 meV per atom
* symmetry: P3_121 (152)
* formation energy (no corrections): -0.741 eV per atom

a = 5.4459 Å, b = 5.4459 Å, c = 6.2771 Å
α = 90.00°, β = 90.00°, γ = 120.00°
Last column: magnetic moment on the atom in μB.
Positions (direct):
Pm 0.3502 0.3502 0.0000  0.02
Pm 0.0000 0.6498 0.6667  0.02
Pm 0.6498 0.0000 0.3333  0.02
Fe 0.4114 0.4114 0.5000  0.90
Fe 0.0000 0.5886 0.1667  0.90
Fe 0.5886 0.0000 0.8333  0.90
N 0.8810 0.3081 0.9574  0.03
N 0.4271 0.1190 0.6240  0.03
N 0.6919 0.5729 0.2907  0.03
N 0.3081 0.8810 0.0426  0.03
N 0.1190 0.4271 0.3760  0.03
N 0.5729 0.6919 0.7093  0.03

(14)
## Pm2FeN (PBE-GGA)

Data for a relaxed structure of Pm2FeN.

Values from the calculation:
* VASP energy: -26.48 eV per cell
* magnetic moment: 1.43 μB per cell
* symmetry: P4/mmm (123)
* formation energy (no corrections): -0.049 eV per atom

a = 3.2718 Å, b = 3.2718 Å, c = 6.7858 Å
α = 90.00°, β = 90.00°, γ = 90.00°
Last column: magnetic moment on the atom in μB.
Positions (direct):
N 0.5000 0.5000 0.5000  0.05
Fe 0.5000 0.5000 0.0000  2.19
Pm 0.0000 0.0000 0.7162  -0.28
Pm 0.0000 0.0000 0.2838  -0.28

(15)
## PmFeN3 (PBE-GGA)

Data for a relaxed structure of PmFeN3.

Values from the calculation:
* VASP energy: -81.67 eV per cell
* magnetic moment: 2.87 μB per cell
* symmetry: P2/m (10)
* formation energy (no corrections): -0.529 eV per atom

a = 3.3950 Å, b = 5.4517 Å, c = 7.2433 Å
α = 112.26°, β = 90.00°, γ = 90.00°
Last column: magnetic moment on the atom in μB.
Positions (direct):
Pm 0.0000 0.6588 0.8196  -0.02
Pm 0.0000 0.3412 0.1804  -0.02
Fe 0.5000 0.8535 0.2029  1.59
Fe 0.5000 0.1465 0.7971  1.59
N 0.5000 0.8135 0.5918  -0.08
N 0.5000 0.1865 0.4082  -0.08
N 0.5000 0.7190 0.4072  -0.08
N 0.5000 0.5000 0.0000  0.07
N 0.5000 0.2810 0.5928  -0.08
N 0.5000 0.0000 0.0000  0.08

(16)
## PmFeN2 (PBE-GGA)

Data for a relaxed structure of PmFeN2.

Values from the calculation:
* VASP energy: -30.89 eV per cell
* magnetic moment: 2.61 μB per cell
* distance to the lowest polymorph of the same formula: 485.1 meV per atom
* symmetry: R-3m (166)
* formation energy (no corrections): -0.256 eV per atom

a = 3.7536 Å, b = 3.7536 Å, c = 6.1294 Å
α = 72.17°, β = 72.17°, γ = 60.00°
Last column: magnetic moment on the atom in μB.
Positions (direct):
N 0.1012 0.1012 0.6965  -0.06
N 0.8988 0.8988 0.3035  -0.06
Fe 0.0000 0.0000 0.0000  2.55
Pm 0.5000 0.5000 0.5000  0.05

(17)
## Pm2PrFeN4 (PBE-GGA)

Data for a relaxed structure of Pm2PrFeN4.

Values from the calculation:
* VASP energy: -127.30 eV per cell
* magnetic moment: 0.00 μB per cell
* symmetry: Cmcm (63)
* formation energy (no corrections): -0.950 eV per atom

a = 3.4851 Å, b = 6.1516 Å, c = 11.9468 Å
α = 90.00°, β = 90.00°, γ = 106.46°
Positions (direct):
Pm 0.3675 0.7350 0.5443
Pm 0.6325 0.2650 0.0443
Pm 0.6325 0.2650 0.4557
Pm 0.3675 0.7350 0.9557
Pr 0.1198 0.2396 0.7500
Pr 0.8802 0.7604 0.2500
Fe 0.8402 0.6804 0.7500
Fe 0.1598 0.3196 0.2500
N 0.2693 0.5386 0.1342
N 0.7307 0.4614 0.6342
N 0.7307 0.4614 0.8658
N 0.2693 0.5386 0.3658
N 0.0000 0.0000 0.5000
N 0.0000 0.0000 0.0000
N 0.4012 0.8024 0.7500
N 0.5988 0.1976 0.2500

(18)
## PmPu2FeN4 (PBE-GGA)

Data for a relaxed structure of PmPu2FeN4.

Values from the calculation:
* VASP energy: -167.30 eV per cell
* magnetic moment: 9.98 μB per cell
* symmetry: Cmcm (63)
* formation energy (no corrections): -1.059 eV per atom

a = 3.4259 Å, b = 5.9402 Å, c = 11.4012 Å
α = 90.00°, β = 90.00°, γ = 106.76°
Last column: magnetic moment on the atom in μB.
Positions (direct):
Pm 0.1029 0.2058 0.7500  0.03
Pm 0.8971 0.7942 0.2500  0.03
Pu 0.3690 0.7380 0.5555  4.16
Pu 0.6310 0.2620 0.0555  4.16
Pu 0.6310 0.2620 0.4445  4.16
Pu 0.3690 0.7380 0.9445  4.16
Fe 0.8393 0.6787 0.7500  -2.60
Fe 0.1607 0.3213 0.2500  -2.60
N 0.2659 0.5318 0.1142  -0.20
N 0.7341 0.4682 0.6142  -0.20
N 0.7341 0.4682 0.8858  -0.20
N 0.2659 0.5318 0.3858  -0.20
N 0.0000 0.0000 0.5000  -0.24
N 0.0000 0.0000 0.0000  -0.24
N 0.4448 0.8897 0.7500  -0.14
N 0.5552 0.1103 0.2500  -0.14

(19)
## Pm2PuFeN5 (PBE-GGA)

Data for a relaxed structure of Pm2PuFeN5.

Values from the calculation:
* VASP energy: -163.72 eV per cell
* magnetic moment: 3.78 μB per cell
* symmetry: Cmc2_1 (36)
* formation energy (no corrections): -0.882 eV per atom

a = 3.4500 Å, b = 7.0788 Å, c = 10.2876 Å
α = 90.00°, β = 90.00°, γ = 104.10°
Last column: magnetic moment on the atom in μB.
Positions (direct):
Pm 0.8660 0.7321 0.8323  0.01
Pm 0.1107 0.2214 0.6846  0.00
Pm 0.1340 0.2679 0.3323  0.01
Pm 0.8893 0.7786 0.1846  0.00
Pu 0.8069 0.6138 0.5251  3.28
Pu 0.1931 0.3862 0.0251  3.28
Fe 0.5377 0.0754 0.9393  -0.78
Fe 0.4623 0.9246 0.4393  -0.78
N 0.3443 0.6886 0.0100  -0.12
N 0.6718 0.3436 0.8856  -0.13
N 0.4931 0.9862 0.7784  -0.05
N 0.2956 0.5911 0.6627  -0.16
N 0.9750 0.9500 0.5060  -0.07
N 0.6557 0.3114 0.5100  -0.12
N 0.3282 0.6564 0.3856  -0.13
N 0.5069 0.0138 0.2784  -0.05
N 0.7044 0.4089 0.1627  -0.16
N 0.0250 0.0500 0.0060  -0.07

(20)
## Pm2FeReN5 (PBE-GGA)

Data for a relaxed structure of Pm2FeReN5.

Values from the calculation:
* VASP energy: -154.76 eV per cell
* magnetic moment: 1.43 μB per cell
* symmetry: Cmc2_1 (36)
* formation energy (no corrections): -0.593 eV per atom

a = 3.3025 Å, b = 7.0932 Å, c = 9.8295 Å
α = 90.00°, β = 90.00°, γ = 103.46°
Last column: magnetic moment on the atom in μB.
Positions (direct):
Pm 0.8752 0.7504 0.8176  0.02
Pm 0.1206 0.2412 0.6935  0.01
Pm 0.1248 0.2496 0.3176  0.02
Pm 0.8794 0.7588 0.1935  0.01
Fe 0.5597 0.1194 0.9537  0.40
Fe 0.4403 0.8806 0.4537  0.40
Re 0.7974 0.5948 0.5190  0.17
Re 0.2026 0.4052 0.0190  0.17
N 0.3376 0.6752 0.0064  0.02
N 0.6849 0.3698 0.8756  0.00
N 0.5050 0.0099 0.7871  0.04
N 0.3045 0.6089 0.6475  0.00
N 0.9653 0.9307 0.5236  0.00
N 0.6624 0.3248 0.5064  0.02
N 0.3151 0.6302 0.3756  0.00
N 0.4950 0.9901 0.2871  0.04
N 0.6955 0.3911 0.1475  0.00
N 0.0347 0.0693 0.0236  0.00

(21)
## PmFe2SiN (PBE-GGA)

Data for a relaxed structure of PmFe2SiN.

Values from the calculation:
* VASP energy: -78.40 eV per cell
* magnetic moment: 0.00 μB per cell
* symmetry: Cmcm (63)
* formation energy (no corrections): -0.756 eV per atom

a = 3.7538 Å, b = 5.6186 Å, c = 6.7761 Å
α = 90.00°, β = 90.00°, γ = 109.52°
Positions (direct):
Pm 0.4483 0.8966 0.7500
Pm 0.5517 0.1034 0.2500
Fe 0.1628 0.3256 0.9416
Fe 0.8372 0.6744 0.0584
Fe 0.1628 0.3256 0.5584
Fe 0.8372 0.6744 0.4416
Si 0.7273 0.4546 0.7500
Si 0.2727 0.5454 0.2500
N 0.0000 0.0000 0.0000
N 0.0000 0.0000 0.5000

(22)
## PmFeSiN (PBE-GGA)

Data for a relaxed structure of PmFeSiN.

Values from the calculation:
* VASP energy: -61.74 eV per cell
* magnetic moment: 2.69 μB per cell
* symmetry: P4/nmm (129)
* formation energy (no corrections): -0.977 eV per atom

a = 3.7348 Å, b = 3.7348 Å, c = 8.4087 Å
α = 90.00°, β = 90.00°, γ = 90.00°
Last column: magnetic moment on the atom in μB.
Positions (direct):
Pm 0.0000 0.5000 0.8433  0.00
Pm 0.5000 0.0000 0.1567  0.00
Fe 0.0000 0.0000 0.5000  1.42
Fe 0.5000 0.5000 0.5000  1.42
Si 0.0000 0.5000 0.3409  -0.06
Si 0.5000 0.0000 0.6591  -0.06
N 0.5000 0.0000 0.8705  -0.01
N 0.0000 0.5000 0.1295  -0.01

(23)
## Pm2Fe2Si2N (PBE-GGA)

Data for a relaxed structure of Pm2Fe2Si2N.

Values from the calculation:
* VASP energy: -51.25 eV per cell
* magnetic moment: 0.00 μB per cell
* symmetry: C2/m (12)
* formation energy (no corrections): -0.807 eV per atom

a = 3.9046 Å, b = 5.7149 Å, c = 5.8415 Å
α = 73.55°, β = 70.48°, γ = 70.02°
Positions (direct):
Pm 0.5600 0.1736 0.7064
Pm 0.4400 0.8264 0.2936
Fe 0.1946 0.6936 0.9172
Fe 0.8054 0.3064 0.0828
Si 0.1676 0.3864 0.2784
Si 0.8324 0.6136 0.7216
N 0.0000 0.0000 0.0000

(24)
## PmTa2FeN4 (PBE-GGA)

Data for a relaxed structure of PmTa2FeN4.

Values from the calculation:
* VASP energy: -156.52 eV per cell
* magnetic moment: 0.01 μB per cell
* symmetry: Cmcm (63)
* formation energy (no corrections): -1.005 eV per atom

a = 3.1215 Å, b = 5.6509 Å, c = 10.8551 Å
α = 90.00°, β = 90.00°, γ = 106.03°
Positions (direct):
Pm 0.1078 0.2156 0.7500
Pm 0.8922 0.7844 0.2500
Ta 0.3689 0.7379 0.5585
Ta 0.6311 0.2621 0.0585
Ta 0.6311 0.2621 0.4415
Ta 0.3689 0.7379 0.9415
Fe 0.8422 0.6843 0.7500
Fe 0.1578 0.3157 0.2500
N 0.2709 0.5417 0.1101
N 0.7291 0.4583 0.6101
N 0.7291 0.4583 0.8899
N 0.2709 0.5417 0.3899
N 0.0000 0.0000 0.5000
N 0.0000 0.0000 0.0000
N 0.4438 0.8875 0.7500
N 0.5562 0.1125 0.2500